A plane-wave DFT calculation with PBE+U was carried out for a relaxed structure of MnAl2MoO6.

Electronic total energy (eV/atom): -7.47

Cell: 10.667 9.051 5.757 Å, 90.00 112.98 90.00°
Space group C2/c (No. 15)
Inequivalent atoms, fractional coordinates:
1 Mn 0.000 0.097 0.250 [4 per cell]
2 Al 0.203 0.421 0.167 [8 per cell]
3 Mo 0.000 0.266 0.750 [4 per cell]
4 O 0.102 0.261 0.128 [8 per cell]
5 O 0.117 0.098 0.684 [8 per cell]
6 O 0.151 0.443 0.830 [8 per cell]